1.
Computed, not measured: an optimized crystal structure of Rb3La2DyO6 at the GGA-PBE level of DFT.

Calculated values
total moment	0.00	μB/cell
ΔE_f (raw)	-2.64	eV per atom
volume	19.224	Å³/atom
calculated density	5.71	g cm⁻³

Unit cell a=6.3595 b=6.3595 c=6.9194 alpha=98.79 beta=98.79 gamma=120.03
Fractional coordinates of all 12 atoms:
Rb 0.0000 0.0000 0.0000
Rb 0.3355 0.6645 0.0000
Rb 0.6645 0.3355 0.0000
La 0.1667 0.8333 0.5000
La 0.8333 0.1667 0.5000
Dy 0.5000 0.5000 0.5000
O 0.1209 0.4403 0.3212
O 0.2399 0.2399 0.6787
O 0.4403 0.1209 0.3212
O 0.5597 0.8791 0.6788
O 0.7601 0.7601 0.3213
O 0.8791 0.5597 0.6788

2.
Computed, not measured: an optimized crystal structure of Rb4La3DyO8 at the GGA-PBE level of DFT.

Calculated values
total moment	0.00	μB/cell
ΔE_f (raw)	-2.63	eV per atom
volume	19.456	Å³/atom
calculated density	5.60	g cm⁻³

Unit cell a=7.8498 b=7.8498 c=7.8498 alpha=56.12 beta=56.12 gamma=56.12
Fractional coordinates of all 16 atoms:
Rb 0.0000 0.0000 0.0000
Rb 0.0000 0.5000 0.5000
Rb 0.5000 0.0000 0.5000
Rb 0.5000 0.5000 0.0000
La 0.0000 0.0000 0.5000
La 0.0000 0.5000 0.0000
La 0.5000 0.0000 0.0000
Dy 0.5000 0.5000 0.5000
O 0.2269 0.2269 0.2269
O 0.2385 0.7201 0.7201
O 0.2799 0.2799 0.7615
O 0.2799 0.7615 0.2799
O 0.7201 0.2385 0.7201
O 0.7201 0.7201 0.2385
O 0.7615 0.2799 0.2799
O 0.7731 0.7731 0.7731

3.
Computed, not measured: an optimized crystal structure of LaDy2ReO8 at the GGA-PBE level of DFT.

Calculated values
total moment	0.00	μB/cell
ΔE_f (raw)	-2.79	eV per atom
volume	14.913	Å³/atom
calculated density	7.22	g cm⁻³

Unit cell a=5.0732 b=5.0732 c=6.9532 alpha=90.00 beta=90.00 gamma=90.31
Fractional coordinates of all 12 atoms:
La 0.0000 0.0000 0.0000
Dy 0.5000 0.5000 0.2497
Dy 0.5000 0.5000 0.7503
Re 0.0000 0.0000 0.5000
O 0.1844 0.1844 0.3019
O 0.1844 0.1844 0.6981
O 0.2651 0.7349 0.5000
O 0.3163 0.6837 0.0000
O 0.6837 0.3163 0.0000
O 0.7349 0.2651 0.5000
O 0.8156 0.8156 0.3019
O 0.8156 0.8156 0.6981

4.
Computed, not measured: an optimized crystal structure of LaDy2RuO8 at the GGA-PBE level of DFT.

Calculated values
total moment	1.05	μB/cell
ΔE_f (raw)	-2.39	eV per atom
volume	14.866	Å³/atom
calculated density	6.45	g cm⁻³

Unit cell a=5.0660 b=6.9346 c=5.0780 alpha=90.00 beta=90.31 gamma=90.00
Fractional coordinates of all 12 atoms:
La 0.0000 0.0000 0.0000
Dy 0.5000 0.2509 0.5000
Dy 0.5000 0.7491 0.5000
Ru 0.0000 0.5000 0.0000
O 0.1867 0.2999 0.1853
O 0.1867 0.7001 0.1853
O 0.2663 0.5000 0.7328
O 0.3163 0.0000 0.6828
O 0.6837 0.0000 0.3172
O 0.7337 0.5000 0.2672
O 0.8133 0.2999 0.8147
O 0.8133 0.7001 0.8147

5.
Computed, not measured: an optimized crystal structure of LaDyS2O at the GGA-PBE level of DFT.

Calculated values
total moment	0.00	μB/cell
ΔE_f (raw)	-2.56	eV per atom
volume	22.272	Å³/atom
calculated density	5.69	g cm⁻³

Unit cell a=3.9831 b=3.9831 c=14.0386 alpha=90.00 beta=90.00 gamma=90.00
Fractional coordinates of all 10 atoms:
La 0.2500 0.2500 0.0908
La 0.7500 0.7500 0.9092
Dy 0.2500 0.2500 0.6198
Dy 0.7500 0.7500 0.3802
S 0.2500 0.2500 0.4095
S 0.2500 0.2500 0.7974
S 0.7500 0.7500 0.2026
S 0.7500 0.7500 0.5905
O 0.2500 0.7500 0.0000
O 0.7500 0.2500 0.0000

6.
Computed, not measured: an optimized crystal structure of LaDySbO2 at the GGA-PBE level of DFT.

Calculated values
total moment	0.00	μB/cell
ΔE_f (raw)	-2.70	eV per atom
volume	21.480	Å³/atom
calculated density	7.04	g cm⁻³

Unit cell a=7.4198 b=7.4198 c=7.4198 alpha=149.10 beta=149.10 gamma=44.26
Fractional coordinates of all 5 atoms:
La 0.0000 0.0000 0.0000
Dy 0.3286 0.3286 0.0000
Sb 0.6688 0.6688 0.0000
O 0.4069 0.9069 0.5000
O 0.9069 0.4069 0.5000

7.
Computed, not measured: an optimized crystal structure of La2DyScO at the GGA-PBE level of DFT.

Calculated values
total moment	0.00	μB/cell
ΔE_f (raw)	-1.15	eV per atom
volume	25.620	Å³/atom
calculated density	6.50	g cm⁻³

Unit cell a=5.2390 b=5.2390 c=4.6673 alpha=90.00 beta=90.00 gamma=90.00
Fractional coordinates of all 5 atoms:
La 0.0000 0.5000 0.0000
La 0.5000 0.0000 0.0000
Dy 0.0000 0.0000 0.5000
Sc 0.5000 0.5000 0.5000
O 0.0000 0.0000 0.0000

8.
Computed, not measured: an optimized crystal structure of La2DyScO6 at the GGA-PBE level of DFT.

Calculated values
total moment	0.00	μB/cell
ΔE_f (raw)	-3.50	eV per atom
volume	14.539	Å³/atom
calculated density	6.64	g cm⁻³

Unit cell a=5.7991 b=5.9900 c=10.1555 alpha=90.00 beta=124.48 gamma=90.00
Fractional coordinates of all 20 atoms:
La 0.2356 0.0489 0.2506
La 0.2356 0.4511 0.7506
La 0.7644 0.5489 0.2494
La 0.7644 0.9511 0.7494
Dy 0.5000 0.0000 0.0000
Dy 0.5000 0.5000 0.5000
Sc 0.0000 0.0000 0.5000
Sc 0.0000 0.5000 0.0000
O 0.1232 0.2048 0.9349
O 0.1232 0.2952 0.4349
O 0.2333 0.6907 0.9383
O 0.2333 0.8093 0.4383
O 0.3609 0.0499 0.7419
O 0.3609 0.4501 0.2419
O 0.6391 0.5499 0.7581
O 0.6391 0.9501 0.2581
O 0.7667 0.1907 0.5617
O 0.7667 0.3093 0.0617
O 0.8768 0.7048 0.5651
O 0.8768 0.7952 0.0651

9.
Computed, not measured: an optimized crystal structure of LaDySe2O at the GGA-PBE level of DFT.

Calculated values
total moment	0.00	μB/cell
ΔE_f (raw)	-2.46	eV per atom
volume	24.477	Å³/atom
calculated density	6.45	g cm⁻³

Unit cell a=4.0911 b=4.0911 c=14.6246 alpha=90.00 beta=90.00 gamma=90.00
Fractional coordinates of all 10 atoms:
La 0.2500 0.2500 0.0840
La 0.7500 0.7500 0.9160
Dy 0.2500 0.2500 0.6218
Dy 0.7500 0.7500 0.3782
Se 0.2500 0.2500 0.4102
Se 0.2500 0.2500 0.8013
Se 0.7500 0.7500 0.1987
Se 0.7500 0.7500 0.5898
O 0.2500 0.7500 0.0000
O 0.7500 0.2500 0.0000

10.
Computed, not measured: an optimized crystal structure of LaDySeO2 at the GGA-PBE level of DFT.

Calculated values
total moment	0.00	μB/cell
ΔE_f (raw)	-3.11	eV per atom
volume	20.517	Å³/atom
calculated density	6.67	g cm⁻³

Unit cell a=6.6975 b=4.1167 c=7.8365 alpha=90.00 beta=108.27 gamma=90.00
Fractional coordinates of all 10 atoms:
La 0.1920 0.2500 0.4285
La 0.8080 0.7500 0.5715
Dy 0.1714 0.2500 0.9202
Dy 0.8286 0.7500 0.0798
Se 0.4514 0.7500 0.7533
Se 0.5486 0.2500 0.2467
O 0.0139 0.7500 0.8877
O 0.0154 0.7500 0.3709
O 0.9846 0.2500 0.6291
O 0.9861 0.2500 0.1123

11.
Computed, not measured: an optimized crystal structure of La2DySe2O2 at the GGA-PBE level of DFT.

Calculated values
total moment	0.00	μB/cell
ΔE_f (raw)	-2.52	eV per atom
volume	21.528	Å³/atom
calculated density	6.94	g cm⁻³

Unit cell a=8.4766 b=8.4766 c=8.4766 alpha=150.13 beta=150.13 gamma=42.75
Fractional coordinates of all 7 atoms:
La 0.1273 0.1273 0.0000
La 0.8727 0.8727 0.0000
Dy 0.5000 0.5000 0.0000
Se 0.3209 0.3209 0.0000
Se 0.6791 0.6791 0.0000
O 0.0000 0.5000 0.5000
O 0.5000 0.0000 0.5000

12.
Computed, not measured: an optimized crystal structure of La4Dy2Sn3O2 at the GGA-PBE level of DFT.

Calculated values
total moment	0.00	μB/cell
ΔE_f (raw)	-1.47	eV per atom
volume	27.849	Å³/atom
calculated density	6.88	g cm⁻³

Unit cell a=13.3888 b=13.3888 c=13.3888 alpha=159.06 beta=159.06 gamma=29.78
Fractional coordinates of all 11 atoms:
La 0.0852 0.5852 0.5000
La 0.4148 0.9148 0.5000
La 0.5852 0.0852 0.5000
La 0.9148 0.4148 0.5000
Dy 0.1966 0.1966 0.0000
Dy 0.8034 0.8034 0.0000
Sn 0.3189 0.3189 0.0000
Sn 0.5000 0.5000 0.0000
Sn 0.6811 0.6811 0.0000
O 0.1093 0.1093 0.0000
O 0.8907 0.8907 0.0000

13.
Computed, not measured: an optimized crystal structure of La2Dy4Sn3O2 at the GGA-PBE level of DFT.

Calculated values
total moment	0.62	μB/cell
ΔE_f (raw)	-1.56	eV per atom
volume	25.892	Å³/atom
calculated density	7.67	g cm⁻³

Unit cell a=13.2870 b=13.2870 c=13.2870 alpha=159.60 beta=159.60 gamma=29.00
Fractional coordinates of all 11 atoms:
La 0.1942 0.1942 0.0000
La 0.8058 0.8058 0.0000
Dy 0.0808 0.5808 0.5000
Dy 0.4192 0.9192 0.5000
Dy 0.5808 0.0808 0.5000
Dy 0.9192 0.4192 0.5000
Sn 0.3283 0.3283 0.0000
Sn 0.5000 0.5000 0.0000
Sn 0.6717 0.6717 0.0000
O 0.0921 0.0921 0.0000
O 0.9079 0.9079 0.0000

14.
Computed, not measured: an optimized crystal structure of LaDy2TaO8 at the GGA-PBE level of DFT.

Calculated values
total moment	1.88	μB/cell
ΔE_f (raw)	-2.91	eV per atom
volume	15.255	Å³/atom
calculated density	7.01	g cm⁻³

Unit cell a=5.0704 b=5.0704 c=7.1208 alpha=90.00 beta=90.00 gamma=90.47
Fractional coordinates of all 12 atoms:
La 0.0000 0.0000 0.0000
Dy 0.5000 0.5000 0.2590
Dy 0.5000 0.5000 0.7410
Ta 0.0000 0.0000 0.5000
O 0.1871 0.8129 0.2921
O 0.1871 0.8129 0.7079
O 0.2823 0.2823 0.5000
O 0.3196 0.3196 0.0000
O 0.6804 0.6804 0.0000
O 0.7177 0.7177 0.5000
O 0.8129 0.1871 0.2921
O 0.8129 0.1871 0.7079

15.
Computed, not measured: an optimized crystal structure of LaDyTc2O8 at the GGA-PBE level of DFT.

Calculated values
total moment	4.04	μB/cell
ΔE_f (raw)	-2.24	eV per atom
volume	13.437	Å³/atom
calculated density	6.44	g cm⁻³

Unit cell a=6.8626 b=6.8626 c=6.8626 alpha=134.61 beta=134.61 gamma=66.13
Fractional coordinates of all 12 atoms:
La 0.0000 0.0000 0.0000
Dy 0.2500 0.7500 0.5000
Tc 0.5000 0.5000 0.0000
Tc 0.7500 0.2500 0.5000
O 0.0038 0.0832 0.4222
O 0.2582 0.6644 0.0988
O 0.3356 0.4344 0.5938
O 0.4184 0.9962 0.0794
O 0.5656 0.1594 0.9012
O 0.6610 0.5816 0.5778
O 0.8406 0.7418 0.4062
O 0.9168 0.3390 0.9206

16.
Computed, not measured: an optimized crystal structure of LaDyTe2O8 at the GGA-PBE level of DFT.

Calculated values
total moment	0.00	μB/cell
ΔE_f (raw)	-1.94	eV per atom
volume	16.481	Å³/atom
calculated density	5.75	g cm⁻³

Unit cell a=6.3664 b=6.3664 c=6.3664 alpha=107.34 beta=107.34 gamma=113.82
Fractional coordinates of all 12 atoms:
La 0.0000 0.0000 0.0000
Dy 0.2500 0.7500 0.5000
Te 0.5000 0.5000 0.0000
Te 0.7500 0.2500 0.5000
O 0.3053 0.1140 0.8087
O 0.3053 0.4966 0.1913
O 0.3744 0.0526 0.3219
O 0.5034 0.6947 0.8087
O 0.7307 0.0526 0.6781
O 0.8860 0.6947 0.1913
O 0.9474 0.2693 0.3219
O 0.9474 0.6256 0.6781

17.
Computed, not measured: an optimized crystal structure of La2DyTlO6 at the GGA-PBE level of DFT.

Calculated values
total moment	0.00	μB/cell
ΔE_f (raw)	-2.75	eV per atom
volume	16.181	Å³/atom
calculated density	7.60	g cm⁻³

Unit cell a=6.2012 b=6.2012 c=6.2012 alpha=58.24 beta=58.24 gamma=58.24
Fractional coordinates of all 10 atoms:
La 0.0000 0.0000 0.0000
La 0.4975 0.4975 0.4975
Dy 0.7216 0.7216 0.7216
Tl 0.2224 0.2224 0.2224
O 0.0854 0.8393 0.4249
O 0.3472 0.5918 0.9184
O 0.4249 0.0854 0.8393
O 0.5918 0.9184 0.3472
O 0.8393 0.4249 0.0854
O 0.9184 0.3472 0.5918

18.
Computed, not measured: an optimized crystal structure of La2DyTlO at the GGA-PBE level of DFT.

Calculated values
total moment	0.00	μB/cell
ΔE_f (raw)	-1.36	eV per atom
volume	25.088	Å³/atom
calculated density	8.75	g cm⁻³

Unit cell a=5.1131 b=5.1131 c=4.7980 alpha=90.00 beta=90.00 gamma=90.00
Fractional coordinates of all 5 atoms:
La 0.0000 0.5000 0.0000
La 0.5000 0.0000 0.0000
Dy 0.0000 0.0000 0.5000
Tl 0.5000 0.5000 0.5000
O 0.0000 0.0000 0.0000

19.
Computed, not measured: an optimized crystal structure of LaDy2UO8 at the GGA-PBE level of DFT.

Calculated values
total moment	0.90	μB/cell
ΔE_f (raw)	-3.27	eV per atom
volume	13.493	Å³/atom
calculated density	8.51	g cm⁻³

Unit cell a=3.9185 b=5.3511 c=7.7217 alpha=90.00 beta=90.00 gamma=90.00
Fractional coordinates of all 12 atoms:
La 0.0000 0.0000 0.0000
Dy 0.5000 0.5000 0.2639
Dy 0.5000 0.5000 0.7361
U 0.0000 0.0000 0.5000
O 0.0000 0.2438 0.2795
O 0.0000 0.2438 0.7205
O 0.0000 0.7562 0.2795
O 0.0000 0.7562 0.7205
O 0.5000 0.2318 0.5000
O 0.5000 0.2762 0.0000
O 0.5000 0.7238 0.0000
O 0.5000 0.7682 0.5000